(1)
Material: NaSrTmI6
Method: DFT, GGA-PBE
State: optimized geometry

Structure (CIF):
```
data_NaSrTmI6
_chemical_formula_sum 'Na2 Sr2 Tm2 I12'
_space_group_name_H-M_alt 'P -3 1 c'
_space_group_IT_number 163
_space_group_name_Hall '-P 3 2c'
_cell_length_a 8.0205
_cell_length_b 8.0205
_cell_length_c 14.3448
_cell_angle_alpha 90.00
_cell_angle_beta 90.00
_cell_angle_gamma 120.00
loop_
_atom_site_label
_atom_site_type_symbol
_atom_site_fract_x
_atom_site_fract_y
_atom_site_fract_z
Na1 Na 0.0000 0.0000 0.0000
Sr1 Sr 0.3333 0.6667 0.2500
Tm1 Tm 0.3333 0.6667 0.7500
I1 I 0.0273 0.3618 0.6274
```

Raw formation energy ... -1.443 eV per atom

(2)
Material: TbTmCu3
Method: DFT, GGA-PBE
State: optimized geometry

Structure (CIF):
```
data_TbTmCu3
_chemical_formula_sum 'Tb4 Tm4 Cu12'
_space_group_name_H-M_alt 'C m c m'
_space_group_IT_number 63
_space_group_name_Hall '-C 2c 2'
_cell_length_a 3.6024
_cell_length_b 25.2824
_cell_length_c 4.2768
_cell_angle_alpha 90.00
_cell_angle_beta 90.00
_cell_angle_gamma 90.00
loop_
_atom_site_label
_atom_site_type_symbol
_atom_site_fract_x
_atom_site_fract_y
_atom_site_fract_z
Tb1 Tb 0.0000 0.0721 0.2500
Tm1 Tm 0.0000 0.2050 0.7500
Cu1 Cu 0.0000 0.3265 0.7500
Cu2 Cu 0.0000 0.3807 0.2500
Cu3 Cu 0.0000 0.4767 0.2500
```

Energy relative to the elements ... -0.260 eV/atom

(3)
Material: Y2HgRh
Method: DFT, GGA-PBE
State: optimized geometry

Structure (CIF):
```
data_Y2HgRh
_chemical_formula_sum 'Y6 Hg3 Rh3'
_space_group_name_H-M_alt 'R 3 m'
_space_group_IT_number 160
_space_group_name_Hall 'R 3 -2"'
_cell_length_a 3.7454
_cell_length_b 3.7454
_cell_length_c 26.1647
_cell_angle_alpha 90.00
_cell_angle_beta 90.00
_cell_angle_gamma 120.00
loop_
_atom_site_label
_atom_site_type_symbol
_atom_site_fract_x
_atom_site_fract_y
_atom_site_fract_z
Y1 Y 0.0000 0.0000 0.0000
Y2 Y 0.0000 0.0000 0.2154
Hg1 Hg 0.0000 0.0000 0.7527
Rh1 Rh 0.0000 0.0000 0.4860
```

Energy relative to the elements ... -0.166 eV/atom

(4)
Material: ZnGaCuF6
Method: DFT, GGA-PBE
State: optimized geometry

Structure (CIF):
```
data_ZnGaCuF6
_chemical_formula_sum 'Zn2 Ga2 Cu2 F12'
_space_group_name_H-M_alt 'P -3 1 c'
_space_group_IT_number 163
_space_group_name_Hall '-P 3 2c'
_cell_length_a 5.2893
_cell_length_b 5.2893
_cell_length_c 9.3757
_cell_angle_alpha 90.00
_cell_angle_beta 90.00
_cell_angle_gamma 120.00
loop_
_atom_site_label
_atom_site_type_symbol
_atom_site_fract_x
_atom_site_fract_y
_atom_site_fract_z
Zn1 Zn 0.3333 0.6667 0.2500
Ga1 Ga 0.3333 0.6667 0.7500
Cu1 Cu 0.0000 0.0000 0.0000
F1 F 0.0196 0.3678 0.6367
```

Raw formation energy ... -2.100 eV per atom

(5)
Material: KTi3S
Method: DFT, GGA-PBE
State: optimized geometry

Structure (CIF):
```
data_KTi3S
_chemical_formula_sum 'K1 Ti3 S1'
_space_group_name_H-M_alt 'P m -3 m'
_space_group_IT_number 221
_space_group_name_Hall '-P 4 2 3'
_cell_length_a 4.5510
_cell_length_b 4.5510
_cell_length_c 4.5510
_cell_angle_alpha 90.00
_cell_angle_beta 90.00
_cell_angle_gamma 90.00
loop_
_atom_site_label
_atom_site_type_symbol
_atom_site_fract_x
_atom_site_fract_y
_atom_site_fract_z
K1 K 0.0000 0.0000 0.0000
Ti1 Ti 0.0000 0.0000 0.5000
S1 S 0.5000 0.5000 0.5000
```

Raw formation energy ... 2.062 eV per atom
E above lowest polymorph ... 1.8301 eV per atom

(6)
Material: CsZrAsO5
Method: DFT, GGA-PBE
State: optimized geometry

Structure (CIF):
```
data_CsZrAsO5
_chemical_formula_sum 'Cs4 Zr4 As4 O20'
_space_group_name_H-M_alt 'C 1 2/c 1'
_space_group_IT_number 15
_space_group_name_Hall '-C 2yc'
_cell_length_a 7.5580
_cell_length_b 9.9788
_cell_length_c 7.8829
_cell_angle_alpha 90.00
_cell_angle_beta 116.52
_cell_angle_gamma 90.00
loop_
_atom_site_label
_atom_site_type_symbol
_atom_site_fract_x
_atom_site_fract_y
_atom_site_fract_z
Cs1 Cs 0.0000 0.1660 0.2500
Zr1 Zr 0.0000 0.5000 0.0000
As1 As 0.0000 0.1949 0.7500
O1 O 0.0000 0.4498 0.2500
O2 O 0.0735 0.2962 0.6142
O3 O 0.1949 0.0921 0.8906
```

Raw formation energy ... -2.103 eV per atom

(7)
Material: MnSe2SN
Method: DFT, GGA-PBE
State: optimized geometry

Structure (CIF):
```
data_MnSe2SN
_chemical_formula_sum 'Mn1 Se2 S1 N1'
_space_group_name_H-M_alt 'P 4/m m m'
_space_group_IT_number 123
_space_group_name_Hall '-P 4 2'
_cell_length_a 4.8353
_cell_length_b 4.8353
_cell_length_c 3.4509
_cell_angle_alpha 90.00
_cell_angle_beta 90.00
_cell_angle_gamma 90.00
loop_
_atom_site_label
_atom_site_type_symbol
_atom_site_fract_x
_atom_site_fract_y
_atom_site_fract_z
Mn1 Mn 0.0000 0.0000 0.0000
Se1 Se 0.0000 0.5000 0.0000
S1 S 0.5000 0.5000 0.5000
N1 N 0.0000 0.0000 0.5000
```

Raw formation energy ... 0.481 eV per atom
E above lowest polymorph ... 0.0000 eV per atom

(8)
Material: UCdIn
Method: DFT, GGA-PBE
State: optimized geometry

Structure (CIF):
```
data_UCdIn
_chemical_formula_sum 'U4 Cd4 In4'
_space_group_name_H-M_alt 'C 1 2/m 1'
_space_group_IT_number 12
_space_group_name_Hall '-C 2y'
_cell_length_a 10.3315
_cell_length_b 2.9837
_cell_length_c 9.1444
_cell_angle_alpha 90.00
_cell_angle_beta 98.06
_cell_angle_gamma 90.00
loop_
_atom_site_label
_atom_site_type_symbol
_atom_site_fract_x
_atom_site_fract_y
_atom_site_fract_z
U1 U 0.1167 0.0000 0.0648
Cd1 Cd 0.1256 0.5000 0.4097
In1 In 0.1262 0.0000 0.7263
```

Energy relative to the elements ... 0.194 eV/atom